HoZrSnHg: optimized geometry, PBE.

Lattice parameters (Å, degrees): 7.2556 7.2556 7.2556 90.00 90.00 90.00
With the nearest neighbours (Å) after each atom.
Fractional coordinates of all 16 atoms:
Ho 0.0000 0.0000 0.0000  4 Hg 3.14, 4 Sn 3.14
Ho 0.0000 0.5000 0.5000  4 Hg 3.14, 4 Sn 3.14
Ho 0.5000 0.0000 0.5000  4 Hg 3.14, 4 Sn 3.14
Ho 0.5000 0.5000 0.0000  4 Hg 3.14, 4 Sn 3.14
Zr 0.0000 0.0000 0.5000  4 Sn 3.14, 4 Hg 3.14
Zr 0.0000 0.5000 0.0000  4 Sn 3.14, 4 Hg 3.14
Zr 0.5000 0.0000 0.0000  4 Sn 3.14, 4 Hg 3.14
Zr 0.5000 0.5000 0.5000  4 Hg 3.14, 4 Sn 3.14
Sn 0.2500 0.2500 0.7500  4 Zr 3.14, 4 Ho 3.14
Sn 0.2500 0.7500 0.2500  4 Zr 3.14, 4 Ho 3.14
Sn 0.7500 0.2500 0.2500  4 Zr 3.14, 4 Ho 3.14
Sn 0.7500 0.7500 0.7500  4 Ho 3.14, 4 Zr 3.14
Hg 0.2500 0.2500 0.2500  4 Zr 3.14, 4 Ho 3.14
Hg 0.2500 0.7500 0.7500  4 Zr 3.14, 4 Ho 3.14
Hg 0.7500 0.2500 0.7500  4 Zr 3.14, 4 Ho 3.14
Hg 0.7500 0.7500 0.2500  4 Zr 3.14, 4 Ho 3.14

Properties
SG: F-43m, No. 216
Formation enthalpy at 0 K: -345 meV per atom